The following is a DFT calculation (SCAN) of a PBEsol-optimized structure of CdSbPbI2.

Properties
Space group   P4/mmm
Total magnetic moment   0.00 μB per formula unit
Raw formation energy   0.24 eV per atom

Unit cell a=5.615 b=5.615 c=5.631 alpha=90.00 beta=90.00 gamma=90.00
Sites, in units of the cell vectors:
Cd: 0.000 0.000 0.000
Sb: 0.000 0.000 0.500
Pb: 0.500 0.500 0.500
I: 0.000 0.500 0.000
I: 0.500 0.000 0.000